First-principles (GGA+U) data for an optimized crystal structure of Cr2FeAgO8, as listed in Alexandria via LeMat-Bulk.

* volume: 173.1 Å³ per cell
* final energy: -75.86 eV for the cell shown

POSCAR file:
```
Cr2FeAgO8
1.0
-3.227 -1.793 4.155
0.903 -3.249 -4.418
5.180 -2.540 2.927
Fe Ag O Cr
1 1 8 2
Cartesian
2.590 -1.270 1.464
0.000 0.000 0.000
-0.382 -2.808 -1.509
0.694 -1.932 1.556
-0.922 -2.822 3.643
2.162 -5.649 1.109
3.778 -4.760 -0.978
-0.475 -4.458 1.433
3.238 -4.773 4.173
3.331 -3.124 1.231
-0.652 -2.866 1.975
3.508 -4.716 0.690
```